[1]
Entry from the Alexandria database: a relaxed structure of AgHgAu2 (PBEsol).

Summary:
The calculated volume comes out at 17.6 Å³/atom. Its total magnetization is 0.000 μB/f.u. For the density of states at the Fermi level, the calculation gives 0.2718 states/eV per atom. The calculation puts the uncorrected energy at -2.95 eV per atom.

Lattice parameters (Å, degrees): 5.0247 5.0247 5.0247 131.07 131.07 71.71
Closest atoms and distances in Å follow each position.
Fractional positions:
Ag (0.0000, 0.0000, 0.0000)  4 Hg 2.91, 8 Au 2.91-2.94
Hg (0.7500, 0.2500, 0.5000)  8 Au 2.91-2.94, 4 Ag 2.91
Au (0.2500, 0.7500, 0.5000)  4 Au 2.91, 4 Ag 2.91, 4 Hg 2.94
Au (0.5000, 0.5000, 0.0000)  4 Hg 2.91, 4 Au 2.91, 4 Ag 2.94

[2]
Entry from the Alexandria database: a relaxed structure of Ag2HgAu (PBEsol).

Summary:
The calculated volume comes out at 17.6 Å³/atom. Its total magnetization is 0.000 μB/f.u. For the density of states at the Fermi level, the calculation gives 0.2987 states/eV per atom. The calculation puts the uncorrected energy at -2.79 eV per atom.

Lattice parameters (Å, degrees): 2.9868 4.0506 5.8222 90.00 90.00 90.00
Closest atoms and distances in Å follow each position.
Fractional positions:
Ag (0.0000, 0.0000, 0.2428)  4 Ag 2.83-2.99, 4 Au 2.89, 4 Hg 2.93
Ag (0.0000, 0.0000, 0.7572)  4 Ag 2.83-2.99, 4 Au 2.89, 4 Hg 2.93
Hg (0.5000, 0.5000, 0.5000)  2 Au 2.91, 8 Ag 2.93, 2 Hg 2.99
Au (0.5000, 0.5000, 0.0000)  8 Ag 2.89, 2 Hg 2.91, 2 Au 2.99